1.
SmZrAl | PBE | optimized geometry

Geometry as extended XYZ:
```
9
Lattice="-0.279 -4.310 -1.509 4.896 -2.179 5.319 -7.410 -0.028 1.450" Properties=species:S:1:pos:R:3 pbc="T T T"
Zr -5.819 -2.176 0.357
Zr 3.613 -3.825 3.322
Zr -0.727 -2.670 0.827
Sm 2.066 -0.920 2.245
Sm -3.128 -0.012 0.612
Sm -1.453 -1.276 3.912
Al -3.448 -2.900 1.985
Al 0.000 0.000 0.000
Al 0.655 -3.617 3.275
```

Output
Density of states at the Fermi level (states/eV/f.u.): 4.6
Formation energy (eV per atom): -0.1943
Space-group type: No. 189
Offset from the most stable computed form (meV per atom): 0.0

---

2.
BaErAgCl6 | PBE | optimized geometry

Geometry as extended XYZ:
```
18
Lattice="7.001 0.000 0.000 -3.500 6.063 0.000 0.000 0.000 13.437" Properties=species:S:1:pos:R:3 pbc="T T T"
Cl -2.145 3.937 11.602
Cl 0.982 5.952 11.602
Cl 5.646 2.126 1.835
Cl 1.355 2.126 4.884
Cl 2.145 3.937 8.554
Cl 4.664 3.827 4.884
Cl 4.482 0.111 4.884
Cl -1.163 2.236 8.554
Cl 2.518 0.111 1.835
Cl 1.163 2.236 11.602
Cl -0.982 5.952 8.554
Cl 2.337 3.827 1.835
Ag 3.500 2.021 10.078
Ag 0.000 4.042 3.359
Er 0.000 4.042 10.078
Er 3.500 2.021 3.359
Ba 0.000 0.000 6.719
Ba 0.000 0.000 0.000
```

Output
Density of states at the Fermi level (states/eV/f.u.): 0.0
Energy relative to the elements, uncorrected (meV per atom): -1947
Space-group type: No. 163

---

3.
AcB2TeO8 | PBE | optimized geometry

Geometry as extended XYZ:
```
12
Lattice="4.596 -0.134 0.020 2.001 4.140 0.020 0.347 0.211 7.497" Properties=species:S:1:pos:R:3 pbc="T T T"
Ac 0.173 0.105 3.748
O 4.978 3.022 0.383
O 2.863 3.166 1.479
O 4.081 1.050 6.057
O 2.243 1.362 4.619
O 2.815 3.137 6.057
O 4.701 2.854 2.918
O 4.129 1.079 1.479
O 1.966 1.194 7.154
Te 0.000 0.000 0.000
B 2.695 1.636 5.944
B 4.249 2.580 1.592
```

Output
Density of states at the Fermi level (states/eV/f.u.): 6.5
Energy relative to the elements, uncorrected (meV per atom): -1973
Space-group type: No. 12

---

Question: Which of these has the highest density of states at the Fermi level?
Answer: AcB2TeO8

---

Please write out number 2 again, unchanged.
BaErAgCl6 | PBE | optimized geometry

Geometry as extended XYZ:
```
18
Lattice="7.001 0.000 0.000 -3.500 6.063 0.000 0.000 0.000 13.437" Properties=species:S:1:pos:R:3 pbc="T T T"
Cl -2.145 3.937 11.602
Cl 0.982 5.952 11.602
Cl 5.646 2.126 1.835
Cl 1.355 2.126 4.884
Cl 2.145 3.937 8.554
Cl 4.664 3.827 4.884
Cl 4.482 0.111 4.884
Cl -1.163 2.236 8.554
Cl 2.518 0.111 1.835
Cl 1.163 2.236 11.602
Cl -0.982 5.952 8.554
Cl 2.337 3.827 1.835
Ag 3.500 2.021 10.078
Ag 0.000 4.042 3.359
Er 0.000 4.042 10.078
Er 3.500 2.021 3.359
Ba 0.000 0.000 6.719
Ba 0.000 0.000 0.000
```

Output
Density of states at the Fermi level (states/eV/f.u.): 0.0
Energy relative to the elements, uncorrected (meV per atom): -1947
Space-group type: No. 163

---

Question: The lowest density of states at the Fermi level belongs to which entry?
Answer: BaErAgCl6